[1]
Entry from Alexandria via LeMat-Bulk: CaIn2Re after structural relaxation (PBE-GGA).

Properties
energy above the lowest structure with this stoichiometry: 0.81 eV/f.u.
calculated density: 8857 kg/m3
energy relative to the elements: 0.450 eV per atom
density of states at the Fermi level: 0.700 states/eV per atom
magnetization: 0.9 μB/f.u.

a b c (Å): 4.447 4.447 4.323
angles (deg): 90.00 90.00 90.00
Positions (direct):
Ca: 0.000 0.000 0.000
In: 0.000 0.500 0.500
In: 0.500 0.000 0.500
Re: 0.500 0.500 0.000

=====

[2]
Entry from Alexandria via LeMat-Bulk: Ga3PbAu3 after structural relaxation (PBE-GGA).

Properties
energy above the lowest structure with this stoichiometry: 0.97 eV/f.u.
calculated density: 9192 kg/m3
energy relative to the elements: 0.051 eV per atom
density of states at the Fermi level: 0.355 states/eV per atom
magnetization: 0.0 μB/f.u.

a b c (Å): 7.140 7.140 7.140
angles (deg): 90.00 90.00 90.00
Positions (direct):
Ga: 0.000 0.250 0.500
Ga: 0.000 0.750 0.500
Ga: 0.250 0.500 0.000
Ga: 0.500 0.000 0.250
Ga: 0.500 0.000 0.750
Ga: 0.750 0.500 0.000
Pb: 0.000 0.000 0.000
Pb: 0.500 0.500 0.500
Au: 0.000 0.500 0.250
Au: 0.000 0.500 0.750
Au: 0.250 0.000 0.500
Au: 0.500 0.250 0.000
Au: 0.500 0.750 0.000
Au: 0.750 0.000 0.500

=====

[3]
Entry from Alexandria via LeMat-Bulk: OsSeBr2N after structural relaxation (PBE-GGA).

Properties
energy above the lowest structure with this stoichiometry: 0.00 eV/f.u.
calculated density: 6068 kg/m3
density of states at the Fermi level: 1.865 states/eV per atom
magnetization: 0.0 μB/f.u.
energy relative to the elements, uncorrected: 1.7422 eV per atom

a b c (Å): 5.104 5.104 4.653
angles (deg): 90.00 90.00 90.00
Positions (direct):
Os: 0.000 0.000 0.000
Se: 0.000 0.000 0.500
Br: 0.000 0.500 0.000
Br: 0.500 0.000 0.000
N: 0.500 0.500 0.500

=====

[4]
Entry from Alexandria via LeMat-Bulk: Cd3S2F2 after structural relaxation (PBE-GGA).

Properties
calculated density: 4977 kg/m3
density of states at the Fermi level: 0.023 states/eV per atom
magnetization: 0.0 μB/f.u.
energy relative to the elements, uncorrected: -1.1344 eV per atom

a b c (Å): 6.381 6.381 6.523
angles (deg): 102.08 102.08 34.45
Positions (direct):
Cd: 0.000 0.000 0.000
Cd: 0.243 0.243 0.748
Cd: 0.757 0.757 0.252
S: 0.130 0.130 0.337
S: 0.870 0.870 0.663
F: 0.350 0.350 0.108
F: 0.650 0.650 0.892